NaCe2Sn2Au2: optimized geometry, PBE.

a = 4.8083 Å, b = 4.8083 Å, c = 9.7504 Å
α = 75.73°, β = 75.73°, γ = 60.00°
Element x y z (fractional)
1 Na 0.0000 0.0000 0.0000
2 Ce 0.1420 0.1420 0.5741
3 Ce 0.8580 0.8580 0.4259
4 Sn 0.7378 0.7378 0.7866
5 Sn 0.2622 0.2622 0.2134
6 Au 0.5631 0.5631 0.3108
7 Au 0.4369 0.4369 0.6892

Values from the calculation:
For the density, the calculation gives 8.29 Mg/m³. Its space group is R-3m, No. 166. For the size of the total moment, the calculation gives 1.484 μB/cell. The energy relative to the elements is -0.42 eV/atom. For the density of states at the Fermi level, the calculation gives 10.8 states/eV/f.u.

NaCeSn2Au2: optimized geometry, PBE.

a = 4.8517 Å, b = 4.8517 Å, c = 7.1317 Å
α = 90.00°, β = 90.00°, γ = 120.00°
Element x y z (fractional)
1 Na 0.0000 0.0000 0.5000
2 Ce 0.0000 0.0000 0.0000
3 Sn 0.6667 0.3333 0.7566
4 Sn 0.3333 0.6667 0.2434
5 Au 0.6667 0.3333 0.2287
6 Au 0.3333 0.6667 0.7713

Values from the calculation:
For the density, the calculation gives 9.07 Mg/m³. Its space group is P-3m1, No. 164. For the size of the total moment, the calculation gives 0.749 μB/cell. The energy relative to the elements is -0.52 eV/atom. For the density of states at the Fermi level, the calculation gives 5.8 states/eV/f.u.

NaCeTeAu: optimized geometry, PBE.

a = 5.2915 Å, b = 5.2915 Å, c = 5.2915 Å
α = 60.00°, β = 60.00°, γ = 60.00°
Element x y z (fractional)
1 Na 0.5000 0.5000 0.5000
2 Te 0.2500 0.2500 0.2500
3 Au 0.7500 0.7500 0.7500
4 Ce 0.0000 0.0000 0.0000

Values from the calculation:
For the density, the calculation gives 7.73 Mg/m³. The raw formation energy comes out at -0.74 eV/atom. Its space group is F-43m, No. 216. For the size of the total moment, the calculation gives 1.619 μB/cell. For the density of states at the Fermi level, the calculation gives 8.3 states/eV/f.u.